# TcAuI2 | Alexandria via LeMat-Bulk | PBE | optimized geometry
data_TcAuI2
_chemical_formula_sum 'Tc1 Au1 I2'
_cell_length_a 5.005
_cell_length_b 5.005
_cell_length_c 5.005
_cell_angle_alpha 60.00
_cell_angle_beta 60.00
_cell_angle_gamma 60.00
_symmetry_space_group_name_H-M 'P 1'
_symmetry_Int_Tables_number 1
loop_
_symmetry_equiv_pos_as_xyz
'x,y,z'
loop_
_atom_site_label
_atom_site_fract_x
_atom_site_fract_y
_atom_site_fract_z
I1 0.250 0.250 0.250
I2 0.750 0.750 0.750
Au1 0.500 0.500 0.500
Tc1 0.000 0.000 0.000
# N(E_F) (states/eV per atom): 0.120
# Total DFT energy (no corrections) (eV per atom): -3.228
# Uncorrected formation energy (eV/atom): 0.9578
# Crystal system: cubic